# TiRhBr2, relaxed, DFT PBE
# mass density = 7.21 g/cm³
# total moment = 0.250 μB/atom
# polymorph energy (0 for the lowest one) = 118 meV per atom
data_TiRhBr2
_space_group_name_H-M_alt 'F m -3 m'
_space_group_IT_number 225
_space_group_name_Hall '-F 4 2 3'
_cell_length_a 6.589
_cell_length_b 6.589
_cell_length_c 6.589
_cell_angle_alpha 90.00
_cell_angle_beta 90.00
_cell_angle_gamma 90.00
loop_
_atom_site_label
_atom_site_type_symbol
_atom_site_fract_x
_atom_site_fract_y
_atom_site_fract_z
_atom_site_occupancy
Ti1 Ti 0.000 0.000 0.000 1
Rh1 Rh 0.000 0.000 0.500 1
Br1 Br 0.250 0.250 0.250 1


# TiRh2Br, relaxed, DFT PBE
# mass density = 6.21 g/cm³
# total moment = 0.000 μB/atom
# polymorph energy (0 for the lowest one) = 83 meV per atom
data_TiRh2Br
_space_group_name_H-M_alt 'I -4 2 d'
_space_group_IT_number 122
_space_group_name_Hall 'I -4 2bw'
_cell_length_a 5.628
_cell_length_b 5.628
_cell_length_c 11.266
_cell_angle_alpha 90.00
_cell_angle_beta 90.00
_cell_angle_gamma 90.00
loop_
_atom_site_label
_atom_site_type_symbol
_atom_site_fract_x
_atom_site_fract_y
_atom_site_fract_z
_atom_site_occupancy
Ti1 Ti 0.000 0.000 0.000 1
Rh1 Rh 0.226 0.250 0.125 1
Br1 Br 0.000 0.000 0.500 1


# TiRhBr2, relaxed, DFT PBE
# mass density = 5.82 g/cm³
# total moment = 0.173 μB/atom
# polymorph energy (0 for the lowest one) = 325 meV per atom
data_TiRhBr2
_space_group_name_H-M_alt 'R -3 m'
_space_group_IT_number 166
_space_group_name_Hall '-R 3 2"'
_cell_length_a 3.4633
_cell_length_b 3.4633
_cell_length_c 25.5748
_cell_angle_alpha 90.00
_cell_angle_beta 90.00
_cell_angle_gamma 120.00
loop_
_atom_site_label
_atom_site_type_symbol
_atom_site_fract_x
_atom_site_fract_y
_atom_site_fract_z
_atom_site_occupancy
Ti1 Ti 0.0000 0.0000 0.0000 1
Rh1 Rh 0.0000 0.0000 0.5000 1
Br1 Br 0.0000 0.0000 0.0958 1


# TiRh2Br, relaxed, DFT PBE
# mass density = 8.56 g/cm³
# total moment = 0.000 μB/atom
# polymorph energy (0 for the lowest one) = 0 meV per atom
data_TiRh2Br
_space_group_name_H-M_alt 'F m -3 m'
_space_group_IT_number 225
_space_group_name_Hall '-F 4 2 3'
_cell_length_a 6.374
_cell_length_b 6.374
_cell_length_c 6.374
_cell_angle_alpha 90.00
_cell_angle_beta 90.00
_cell_angle_gamma 90.00
loop_
_atom_site_label
_atom_site_type_symbol
_atom_site_fract_x
_atom_site_fract_y
_atom_site_fract_z
_atom_site_occupancy
Ti1 Ti 0.000 0.000 0.000 1
Rh1 Rh 0.250 0.250 0.250 1
Br1 Br 0.000 0.000 0.500 1


# Ti2RhBr, relaxed, DFT PBE
# mass density = 6.32 g/cm³
# total moment = 0.000 μB/atom
# polymorph energy (0 for the lowest one) = 48 meV per atom
data_Ti2RhBr
_space_group_name_H-M_alt 'I -4 2 d'
_space_group_IT_number 122
_space_group_name_Hall 'I -4 2bw'
_cell_length_a 6.787
_cell_length_b 6.787
_cell_length_c 6.355
_cell_angle_alpha 90.00
_cell_angle_beta 90.00
_cell_angle_gamma 90.00
loop_
_atom_site_label
_atom_site_type_symbol
_atom_site_fract_x
_atom_site_fract_y
_atom_site_fract_z
_atom_site_occupancy
Ti1 Ti 0.241 0.750 0.125 1
Rh1 Rh 0.000 0.000 0.000 1
Br1 Br 0.000 0.000 0.500 1


# Ti2RhBr, relaxed, DFT PBE
# mass density = 7.05 g/cm³
# total moment = 0.000 μB/atom
# polymorph energy (0 for the lowest one) = 0 meV per atom
data_Ti2RhBr
_space_group_name_H-M_alt 'F m -3 m'
_space_group_IT_number 225
_space_group_name_Hall '-F 4 2 3'
_cell_length_a 6.401
_cell_length_b 6.401
_cell_length_c 6.401
_cell_angle_alpha 90.00
_cell_angle_beta 90.00
_cell_angle_gamma 90.00
loop_
_atom_site_label
_atom_site_type_symbol
_atom_site_fract_x
_atom_site_fract_y
_atom_site_fract_z
_atom_site_occupancy
Ti1 Ti 0.250 0.250 0.250 1
Rh1 Rh 0.000 0.000 0.000 1
Br1 Br 0.000 0.000 0.500 1


How do the records compare in E_form (uncorrected)? In the order shown, they have 88, 243, 295, 161, -16, -63 meV per atom.